# 1
# KAg3PtO4, optimized geometry, DFT PBE
# density	6.1	g cm⁻³
# total magnetization	4.02	Bohr magnetons per cell
# V	18.76	Å³ per atom
# raw total energy	-35.21	eV/f.u.
data_KAg3PtO4
_space_group_name_H-M_alt 'P -4 3 m'
_space_group_IT_number 215
_space_group_name_Hall 'P -4 2 3'
_cell_length_a 5.527
_cell_length_b 5.527
_cell_length_c 5.527
_cell_angle_alpha 90.00
_cell_angle_beta 90.00
_cell_angle_gamma 90.00
loop_
_atom_site_label
_atom_site_type_symbol
_atom_site_fract_x
_atom_site_fract_y
_atom_site_fract_z
K1 K 0.000 0.000 0.000
Ag1 Ag 0.000 0.500 0.500
Pt1 Pt 0.500 0.500 0.500
O1 O 0.275 0.275 0.275

# 2
# Mg4SiGePt2, optimized geometry, DFT PBE
# density	6.9	g cm⁻³
# total magnetization	0.01	Bohr magnetons per cell
# V	17.58	Å³ per atom
# raw total energy	-33.12	eV/f.u.
data_Mg4SiGePt2
_space_group_name_H-M_alt 'P -6 m 2'
_space_group_IT_number 187
_space_group_name_Hall 'P -6 2'
_cell_length_a 4.3653
_cell_length_b 4.3653
_cell_length_c 8.5204
_cell_angle_alpha 90.00
_cell_angle_beta 90.00
_cell_angle_gamma 120.00
loop_
_atom_site_label
_atom_site_type_symbol
_atom_site_fract_x
_atom_site_fract_y
_atom_site_fract_z
Mg1 Mg 0.0000 0.0000 0.1662
Mg2 Mg 0.6667 0.3333 0.3315
Si1 Si 0.3333 0.6667 0.0000
Ge1 Ge 0.3333 0.6667 0.5000
Pt1 Pt 0.0000 0.0000 0.5000
Pt2 Pt 0.6667 0.3333 0.0000

# 3
# RbSrAu, optimized geometry, DFT PBE
# density	5.0	g cm⁻³
# V	40.78	Å³ per atom
# raw total energy	-6.72	eV/f.u.
data_RbSrAu
_space_group_name_H-M_alt 'F -4 3 m'
_space_group_IT_number 216
_space_group_name_Hall 'F -4 2 3'
_cell_length_a 7.881
_cell_length_b 7.881
_cell_length_c 7.881
_cell_angle_alpha 90.00
_cell_angle_beta 90.00
_cell_angle_gamma 90.00
loop_
_atom_site_label
_atom_site_type_symbol
_atom_site_fract_x
_atom_site_fract_y
_atom_site_fract_z
Rb1 Rb 0.000 0.000 0.000
Sr1 Sr 0.000 0.000 0.500
Au1 Au 0.250 0.250 0.250

# 4
# BaAsAu2, optimized geometry, DFT PBE
# density	10.4	g cm⁻³
# V	24.15	Å³ per atom
# raw total energy	-14.06	eV/f.u.
data_BaAsAu2
_space_group_name_H-M_alt 'F -4 3 m'
_space_group_IT_number 216
_space_group_name_Hall 'F -4 2 3'
_cell_length_a 7.284
_cell_length_b 7.284
_cell_length_c 7.284
_cell_angle_alpha 90.00
_cell_angle_beta 90.00
_cell_angle_gamma 90.00
loop_
_atom_site_label
_atom_site_type_symbol
_atom_site_fract_x
_atom_site_fract_y
_atom_site_fract_z
Ba1 Ba 0.000 0.000 0.000
As1 As 0.250 0.250 0.750
Au1 Au 0.000 0.000 0.500
Au2 Au 0.250 0.250 0.250

# 5
# Tm3MgIn3AgIr, optimized geometry, DFT PBE
# density	9.5	g cm⁻³
# total magnetization	0.01	Bohr magnetons per cell
# V	22.78	Å³ per atom
# raw total energy	-39.47	eV/f.u.
data_Tm3MgIn3AgIr
_space_group_name_H-M_alt 'P -6'
_space_group_IT_number 174
_cell_length_a 8.0084
_cell_length_b 8.0084
_cell_length_c 3.6914
_cell_angle_alpha 90.00
_cell_angle_beta 90.00
_cell_angle_gamma 120.00
loop_
_space_group_symop_operation_xyz
'x,y,z'
'-x+y,-x,-z'
'-y,x-y,z'
'x,y,-z'
'-x+y,-x,z'
'-y,x-y,-z'
loop_
_atom_site_label
_atom_site_type_symbol
_atom_site_fract_x
_atom_site_fract_y
_atom_site_fract_z
Tm1 Tm 0.0413 0.7529 0.0000
Mg1 Mg 0.3333 0.6667 0.5000
In1 In 0.4010 0.0541 0.5000
Ag1 Ag 0.6667 0.3333 0.0000
Ir1 Ir 0.0000 0.0000 0.5000

# 6
# ZrOs, optimized geometry, DFT PBE
# density	13.3	g cm⁻³
# energy of formation	0.1601	eV per atom
# total magnetization	0.01	Bohr magnetons per cell
# V	17.56	Å³ per atom
data_ZrOs
_space_group_name_H-M_alt 'P -6 m 2'
_space_group_IT_number 187
_space_group_name_Hall 'P -6 2'
_cell_length_a 5.8408
_cell_length_b 5.8408
_cell_length_c 4.7554
_cell_angle_alpha 90.00
_cell_angle_beta 90.00
_cell_angle_gamma 120.00
loop_
_atom_site_label
_atom_site_type_symbol
_atom_site_fract_x
_atom_site_fract_y
_atom_site_fract_z
Zr1 Zr 0.0000 0.0000 0.0000
Zr2 Zr 0.1713 0.3425 0.5000
Os1 Os 0.5053 0.0107 0.0000
Os2 Os 0.6667 0.3333 0.5000

# 7
# Hf2CuRe, optimized geometry, DFT PBE
# density	14.6	g cm⁻³
# energy of formation	-0.2825	eV per atom
# total magnetization	0.00	Bohr magnetons per cell
# V	17.31	Å³ per atom
data_Hf2CuRe
_space_group_name_H-M_alt 'F m -3 m'
_space_group_IT_number 225
_space_group_name_Hall '-F 4 2 3'
_cell_length_a 6.518
_cell_length_b 6.518
_cell_length_c 6.518
_cell_angle_alpha 90.00
_cell_angle_beta 90.00
_cell_angle_gamma 90.00
loop_
_atom_site_label
_atom_site_type_symbol
_atom_site_fract_x
_atom_site_fract_y
_atom_site_fract_z
Hf1 Hf 0.250 0.250 0.250
Cu1 Cu 0.000 0.000 0.000
Re1 Re 0.000 0.000 0.500

# 8
# SmGdSe2, optimized geometry, DFT PBE
# density	7.7	g cm⁻³
# total magnetization	0.01	Bohr magnetons per cell
# V	25.05	Å³ per atom
# raw total energy	-23.55	eV/f.u.
data_SmGdSe2
_space_group_name_H-M_alt 'P 4/m m m'
_space_group_IT_number 123
_space_group_name_Hall '-P 4 2'
_cell_length_a 4.137
_cell_length_b 4.137
_cell_length_c 5.855
_cell_angle_alpha 90.00
_cell_angle_beta 90.00
_cell_angle_gamma 90.00
loop_
_atom_site_label
_atom_site_type_symbol
_atom_site_fract_x
_atom_site_fract_y
_atom_site_fract_z
Sm1 Sm 0.000 0.000 0.000
Gd1 Gd 0.500 0.500 0.500
Se1 Se 0.000 0.000 0.500
Se2 Se 0.500 0.500 0.000

Repeat the fifth record exactly.
# Tm3MgIn3AgIr, optimized geometry, DFT PBE
# density	9.5	g cm⁻³
# total magnetization	0.01	Bohr magnetons per cell
# V	22.78	Å³ per atom
# raw total energy	-39.47	eV/f.u.
data_Tm3MgIn3AgIr
_space_group_name_H-M_alt 'P -6'
_space_group_IT_number 174
_cell_length_a 8.0084
_cell_length_b 8.0084
_cell_length_c 3.6914
_cell_angle_alpha 90.00
_cell_angle_beta 90.00
_cell_angle_gamma 120.00
loop_
_space_group_symop_operation_xyz
'x,y,z'
'-x+y,-x,-z'
'-y,x-y,z'
'x,y,-z'
'-x+y,-x,z'
'-y,x-y,-z'
loop_
_atom_site_label
_atom_site_type_symbol
_atom_site_fract_x
_atom_site_fract_y
_atom_site_fract_z
Tm1 Tm 0.0413 0.7529 0.0000
Mg1 Mg 0.3333 0.6667 0.5000
In1 In 0.4010 0.0541 0.5000
Ag1 Ag 0.6667 0.3333 0.0000
Ir1 Ir 0.0000 0.0000 0.5000